This record from Alexandria via LeMat-Bulk describes a geometry-optimized ZnReSe2 structure. The functional is GGA-PBE.

Unit cell a=10.0656 b=10.0656 c=10.0656 alpha=17.88 beta=17.88 gamma=17.88
With the nearest neighbours (Å) after each atom.
Positions (direct):
Se  0.1058  0.1058  0.1058  3 Re 2.56
Se  0.8942  0.8942  0.8942  3 Re 2.56
Zn  0.0000  0.0000  0.0000  6 Zn 3.13, 2 Se 3.14
Re  0.5000  0.5000  0.5000  6 Se 2.56

- Formation energy (no corrections): 12.23 kJ/mol of atoms
- E above lowest polymorph: 0.0502 eV/atom



This record from Alexandria via LeMat-Bulk describes a geometry-optimized NiRh2 structure. The functional is GGA-PBE.

Unit cell a=3.7403 b=5.9537 c=3.7836 alpha=71.47 beta=90.00 gamma=90.00
With the nearest neighbours (Å) after each atom.
Positions (direct):
Ni  0.0000  0.6670  0.6665  10 Rh 2.63-2.67, 2 Ni 2.67
Ni  0.0000  0.9997  0.0001  10 Rh 2.63-2.67, 2 Ni 2.67
Rh  0.0000  0.3333  0.3333  8 Rh 2.66-2.67, 4 Ni 2.67
Rh  0.5000  0.6717  0.1642  6 Rh 2.63-2.69, 6 Ni 2.63-2.66
Rh  0.5000  0.9950  0.5025  6 Rh 2.63-2.69, 6 Ni 2.63-2.66
Rh  0.5000  0.3333  0.8333  4 Ni 2.65, 8 Rh 2.66-2.69

- ΔH_f (0 K): 0.05 eV per atom
- E above lowest polymorph: 0.0089 eV/atom



This record from Alexandria via LeMat-Bulk describes a geometry-optimized BaCeSi2O6 structure. The functional is GGA-PBE.

Unit cell a=6.9499 b=6.9499 c=8.2460 alpha=104.38 beta=104.38 gamma=112.97
With the nearest neighbours (Å) after each atom.
Positions (direct):
O  0.1980  0.2843  0.7241  1 Si 1.65
O  0.3279  0.9418  0.6266  1 Si 1.66
O  0.4689  0.2095  0.9564  1 Si 1.66
O  0.5311  0.7905  0.0436  1 Si 1.66
O  0.2095  0.4689  0.4564  1 Si 1.66
O  0.2843  0.1980  0.2241  1 Si 1.65
O  0.7905  0.5311  0.5436  1 Si 1.66
O  0.7157  0.8020  0.7759  1 Si 1.65
O  0.9418  0.3279  0.1266  1 Si 1.66
O  0.8020  0.7157  0.2759  1 Si 1.65
O  0.6721  0.0582  0.3734  1 Si 1.66
O  0.0582  0.6721  0.8734  1 Si 1.66
Si  0.7563  0.9188  0.2378  3 O 1.65-1.66
Si  0.2437  0.0812  0.7622  3 O 1.65-1.66
Si  0.9188  0.7563  0.7378  3 O 1.65-1.66
Si  0.0812  0.2437  0.2622  3 O 1.65-1.66
Ce  0.6484  0.3516  0.2500  4 O 2.18-2.26
Ce  0.3516  0.6484  0.7500  4 O 2.18-2.26
Ba  0.2159  0.7841  0.2500  6 O 2.73-2.81
Ba  0.7841  0.2159  0.7500  6 O 2.73-2.81

- Formation energy (no corrections): -268.52 kJ/mol of atoms



This record from Alexandria via LeMat-Bulk describes a geometry-optimized TiZn2Co structure. The functional is GGA-PBE.

Unit cell a=4.2093 b=5.4590 c=5.2520 alpha=114.76 beta=90.00 gamma=90.00
With the nearest neighbours (Å) after each atom.
Positions (direct):
Zn  0.7500  0.1670  0.3345  4 Zn 2.52-2.71, 3 Co 2.54-2.65, 2 Ti 2.80
Zn  0.2500  0.8871  0.2029  4 Zn 2.52-2.71, 3 Ti 2.66-2.74, 3 Co 2.71-2.77
Zn  0.2500  0.8330  0.6655  4 Zn 2.52-2.71, 3 Co 2.54-2.65, 2 Ti 2.80
Zn  0.7500  0.1129  0.7971  4 Zn 2.52-2.71, 3 Ti 2.66-2.74, 3 Co 2.71-2.77
Co  0.7500  0.6338  0.3384  3 Ti 2.47-2.51, 4 Zn 2.54-2.71
Co  0.2500  0.3662  0.6616  3 Ti 2.47-2.51, 4 Zn 2.54-2.71
Ti  0.2500  0.3765  0.1362  3 Co 2.47-2.51, 3 Zn 2.66-2.74
Ti  0.7500  0.6235  0.8638  3 Co 2.47-2.51, 3 Zn 2.66-2.74

- ΔH_f (0 K): -0.20 eV per atom
- E above lowest polymorph: 0.0000 eV/atom



This record from Alexandria via LeMat-Bulk describes a geometry-optimized TcRhNO2 structure. The functional is GGA-PBE.

Unit cell a=4.0892 b=4.0892 c=3.6774 alpha=90.00 beta=90.00 gamma=90.00
With the nearest neighbours (Å) after each atom.
Positions (direct):
O  0.0000  0.5000  0.0000  2 Rh 2.04
O  0.5000  0.0000  0.0000  2 Rh 2.04
Rh  0.0000  0.0000  0.0000  2 N 1.84, 4 O 2.04
N  0.0000  0.0000  0.5000  2 Rh 1.84
Tc  0.5000  0.5000  0.5000  8 O 2.75, 4 N 2.89

- Formation energy (no corrections): 66.05 kJ/mol of atoms



This record from Alexandria via LeMat-Bulk describes a geometry-optimized CaTb4Dy3Te8 structure. The functional is GGA-PBE.

Unit cell a=8.7552 b=8.7575 c=8.7546 alpha=119.98 beta=120.00 gamma=90.00
With the nearest neighbours (Å) after each atom.
Positions (direct):
Te  0.7499  0.2510  0.4997  2 Dy 3.09, 3 Tb 3.09-3.10, 1 Ca 3.10
Te  0.2514  0.2509  0.0011  2 Dy 3.09, 3 Tb 3.09-3.10, 1 Ca 3.10
Te  0.7495  0.7483  0.4991  3 Dy 3.09, 3 Tb 3.10
Te  0.2503  0.7491  0.9989  2 Dy 3.09, 3 Tb 3.09-3.10, 1 Ca 3.10
Te  0.7486  0.7491  0.9989  2 Dy 3.09, 3 Tb 3.09-3.10, 1 Ca 3.10
Te  0.7497  0.2509  0.0011  2 Dy 3.09, 3 Tb 3.09-3.10, 1 Ca 3.10
Te  0.2501  0.7490  0.5003  2 Dy 3.09, 3 Tb 3.09-3.10, 1 Ca 3.10
Te  0.2505  0.2517  0.5009  3 Dy 3.09, 3 Tb 3.10
Dy  0.5000  0.5000  0.5000  6 Te 3.09
Dy  0.5000  0.5000  0.0000  6 Te 3.09
Dy  0.0000  0.5000  0.5000  6 Te 3.09
Tb  0.0000  0.0000  0.0000  6 Te 3.10
Tb  0.5000  0.0000  0.0000  6 Te 3.09
Tb  0.0000  0.0000  0.5000  6 Te 3.10
Tb  0.5000  0.0000  0.5000  6 Te 3.10
Ca  0.0000  0.5000  0.0000  6 Te 3.10

- Formation energy (no corrections): -128.49 kJ/mol of atoms



This record from Alexandria via LeMat-Bulk describes a geometry-optimized KGe2TeS6 structure. The functional is GGA-PBE.

Unit cell a=6.5974 b=9.1090 c=9.1090 alpha=90.88 beta=82.49 gamma=82.49
With the nearest neighbours (Å) after each atom.
Positions (direct):
S  0.4209  0.5855  0.7243  2 Ge 2.32-2.36
S  0.1105  0.5958  0.1479  1 Ge 2.20
S  0.8895  0.4042  0.8521  1 Ge 2.20
S  0.2040  0.9937  0.7679  1 Ge 2.25
S  0.2960  0.2321  0.0063  1 Ge 2.25
S  0.0791  0.2757  0.4145  2 Ge 2.32-2.36
S  0.7040  0.7679  0.9937  1 Ge 2.25
S  0.6105  0.1479  0.5958  1 Ge 2.20
S  0.7960  0.0063  0.2321  1 Ge 2.25
S  0.9209  0.7243  0.5855  2 Ge 2.32-2.36
S  0.3895  0.8521  0.4042  1 Ge 2.20
S  0.5791  0.4145  0.2757  2 Ge 2.32-2.36
Ge  0.7540  0.2122  0.3784  4 S 2.20-2.36
Ge  0.2460  0.7878  0.6216  4 S 2.20-2.36
Ge  0.2540  0.3784  0.2122  4 S 2.20-2.36
Ge  0.7460  0.6216  0.7878  4 S 2.20-2.36
K  0.2500  0.9038  0.0962  6 S 3.09-3.16
K  0.7500  0.0962  0.9038  6 S 3.09-3.16
Te  0.7500  0.7126  0.2874  4 S 2.63-2.78
Te  0.2500  0.2874  0.7126  4 S 2.63-2.78

- Formation energy (no corrections): -23.84 kJ/mol of atoms



This record from Alexandria via LeMat-Bulk describes a geometry-optimized ThZn17Hg structure. The functional is GGA-PBE.

Unit cell a=6.8718 b=6.8718 c=6.8718 alpha=82.41 beta=82.41 gamma=82.41
With the nearest neighbours (Å) after each atom.
Positions (direct):
Zn  0.9951  0.3129  0.7066  8 Zn 2.61-2.88
Zn  0.6552  0.1448  0.6552  9 Zn 2.64-2.82
Zn  0.3482  0.8458  0.3482  9 Zn 2.59-2.85, 1 Hg 2.86
Zn  0.0985  0.0985  0.0985  7 Zn 2.65-2.85
Zn  0.5025  0.0148  0.0148  10 Zn 2.59-2.78
Zn  0.0148  0.0148  0.5025  10 Zn 2.59-2.78
Zn  0.9951  0.7066  0.3129  8 Zn 2.61-2.88
Zn  0.6552  0.6552  0.1448  9 Zn 2.64-2.82
Zn  0.8458  0.3482  0.3482  9 Zn 2.59-2.85, 1 Hg 2.86
Zn  0.0148  0.5025  0.0148  10 Zn 2.59-2.78
Zn  0.3129  0.9951  0.7066  8 Zn 2.61-2.88
Zn  0.9007  0.9007  0.9007  7 Zn 2.65-2.79
Zn  0.3482  0.3482  0.8458  9 Zn 2.59-2.85, 1 Hg 2.86
Zn  0.7066  0.3129  0.9951  8 Zn 2.61-2.88
Zn  0.1448  0.6552  0.6552  9 Zn 2.64-2.82
Zn  0.3129  0.7066  0.9951  8 Zn 2.61-2.88
Zn  0.7066  0.9951  0.3129  8 Zn 2.61-2.88
Th  0.3396  0.3396  0.3396  19 Zn 3.23-3.50, 1 Hg 3.52
Hg  0.6024  0.6024  0.6024  6 Zn 2.86-3.10

- ΔH_f (0 K): -0.07 eV per atom



This record from Alexandria via LeMat-Bulk describes a geometry-optimized Rb2Cd2AgAu structure. The functional is GGA-PBE.

Unit cell a=7.4738 b=7.2872 c=9.4246 alpha=112.74 beta=113.36 gamma=90.00
With the nearest neighbours (Å) after each atom.
Positions (direct):
Ag  0.2500  0.0000  0.0000  4 Cd 2.89
Ag  0.7500  0.0000  0.0000  4 Cd 2.89
Cd  0.4228  0.6700  0.8456  2 Au 2.86, 2 Ag 2.89
Cd  0.9228  0.1756  0.8456  2 Au 2.86, 2 Ag 2.89
Cd  0.5772  0.3300  0.1544  2 Au 2.86, 2 Ag 2.89
Cd  0.0772  0.8244  0.1544  2 Au 2.86, 2 Ag 2.89
Rb  0.1618  0.4177  0.3237  2 Au 3.62, 2 Ag 3.66, 5 Cd 3.75-3.97
Rb  0.3382  0.0940  0.6763  2 Au 3.62, 2 Ag 3.66, 5 Cd 3.75-3.97
Rb  0.8382  0.5823  0.6763  2 Au 3.62, 2 Ag 3.66, 5 Cd 3.75-3.97
Rb  0.6618  0.9060  0.3237  2 Au 3.62, 2 Ag 3.66, 5 Cd 3.75-3.97
Au  0.7500  0.5000  0.0000  4 Cd 2.86
Au  0.2500  0.5000  0.0000  4 Cd 2.86

- ΔH_f (0 K): -0.10 eV per atom



This record from Alexandria via LeMat-Bulk describes a geometry-optimized Sc2Mn3Cr structure. The functional is GGA-PBE.

Unit cell a=4.9446 b=4.9446 c=4.9146 alpha=90.10 beta=120.16 gamma=119.92
With the nearest neighbours (Å) after each atom.
Positions (direct):
Mn  0.5000  0.5000  0.5000  2 Cr 2.46, 4 Mn 2.47-2.48
Mn  0.5000  0.0000  0.5000  2 Cr 2.46, 4 Mn 2.47
Mn  0.0000  0.0000  0.5000  2 Cr 2.46, 4 Mn 2.47-2.48
Cr  0.0000  0.0000  0.0000  6 Mn 2.46
Sc  0.7507  0.3755  0.1262  9 Mn 2.88-2.89, 3 Cr 2.90, 4 Sc 2.99-3.03
Sc  0.2493  0.6245  0.8738  9 Mn 2.88-2.89, 3 Cr 2.90, 4 Sc 2.99-3.03

- ΔH_f (0 K): -0.09 eV per atom



This record from Alexandria via LeMat-Bulk describes a geometry-optimized Fe2WBr structure. The functional is GGA-PBE.

Unit cell a=3.0297 b=3.0254 c=7.2380 alpha=89.95 beta=90.00 gamma=90.00
With the nearest neighbours (Å) after each atom.
Positions (direct):
W  0.0000  0.7501  0.4440  5 Fe 2.57-2.72, 2 Br 2.63
Br  0.5000  0.7485  0.7407  2 W 2.63, 2 Fe 2.81
Fe  0.5000  0.2506  0.2474  4 Fe 2.50, 4 W 2.57
Fe  0.0000  0.7508  0.0679  4 Fe 2.50, 1 W 2.72

- Formation energy (no corrections): 45.39 kJ/mol of atoms
- E above lowest polymorph: 0.0000 eV/atom



This record from Alexandria via LeMat-Bulk describes a geometry-optimized CsSmAuS2 structure. The functional is GGA-PBE.

Unit cell a=5.1398 b=8.0370 c=7.9320 alpha=101.10 beta=90.00 gamma=90.00
With the nearest neighbours (Å) after each atom.
Positions (direct):
Au  0.0000  0.0000  0.5000  2 S 2.43
Au  0.0000  0.0000  0.0000  2 S 2.43
Cs  0.8342  0.5000  0.2500  6 S 3.58-3.62
Cs  0.1658  0.5000  0.7500  6 S 3.58-3.62
S  0.3293  0.7794  0.4591  1 Au 2.43
S  0.6707  0.2206  0.5409  1 Au 2.43
S  0.6707  0.7794  0.9591  1 Au 2.43
S  0.3293  0.2206  0.0409  1 Au 2.43
Sm  0.5059  0.0000  0.7500  4 S 2.78
Sm  0.4941  0.0000  0.2500  4 S 2.78

- Formation energy (no corrections): -111.50 kJ/mol of atoms



| no. | E_tot (eV/atom) |
| --- | --- |
| 1 | -5.046 |
| 2 | -6.780 |
| 3 | -7.628 |
| 4 | -4.591 |
| 5 | -6.507 |
| 6 | -5.048 |
| 7 | -4.071 |
| 8 | -1.620 |
| 9 | -1.750 |
| 10 | -8.389 |
| 11 | -7.417 |
| 12 | -4.577 |